VASP calculation (GGA-PBE) on Sc2BeHPd after structural relaxation.

Lattice parameters (Å, degrees): 4.557 4.557 3.356 90.00 90.00 90.00
Sites, in units of the cell vectors:
Sc  0.000  0.500  0.000
Sc  0.500  0.000  0.000
Be  0.000  0.000  0.500
H  0.000  0.000  0.000
Pd  0.500  0.500  0.500

Summary:
Density of states at the Fermi level: 2.35 states/eV/f.u.
VASP energy: -27.19 eV for the cell shown

=====

VASP calculation (GGA-PBE) on BaPmCd after structural relaxation.

Lattice parameters (Å, degrees): 5.557 5.557 4.234 90.00 90.00 120.00
Sites, in units of the cell vectors:
Ba  0.000  0.000  0.000
Pm  0.333  0.667  0.500
Cd  0.667  0.333  0.500

Summary:
Energy relative to the elements: 0.015 eV per atom
Density of states at the Fermi level: 3.70 states/eV/f.u.